Density functional theory data (GGA+U) for a relaxed Fe3BO5 crystal.

Computed properties:
The raw total energy is -7.1248 eV/atom. The value obtained for the mass density is 4593 kg/m3.

Cell lengths 5.5855, 3.1021, 10.8004 Å; angles 90.00, 93.36, 90.00 degrees
Last column: nearest neighbours and their distance in Å.
Space group P2/m (No. 10)
Unique sites:
Fe (0.0000, 0.0000, 0.0000) x1  6 O 2.05-2.11
Fe (0.0000, 0.0000, 0.5000) x1  6 O 2.07-2.08
Fe (0.2191, 0.5000, 0.2728) x2  4 O 2.00-2.23
Fe (0.5000, 0.0000, 0.5000) x1  6 O 2.12-2.17
Fe (0.5000, 0.5000, 0.0000) x1  6 O 2.08-2.25
B (0.2857, 0.0000, 0.7575) x2  3 O 1.38-1.39
O (0.0639, 0.0000, 0.6916) x2  1 B 1.39
O (0.1790, 0.5000, 0.0877) x2  4 Fe 2.00-2.08
O (0.2329, 0.5000, 0.4684) x2  5 Fe 2.07-2.17
O (0.2945, 0.0000, 0.8868) x2  1 B 1.39
O (0.4970, 0.0000, 0.6965) x2  1 B 1.38